Entry 1:
A geometry-optimized Sc3Ge5O12 structure. Source: the Alexandria database, functional PBE.

Lattice parameters (Å, degrees): 12.4867 12.4867 12.4867 90.00 90.00 90.00
Closest atoms and distances in Å follow each position.
Space group Ia-3d (No. 230)
Asymmetric unit:
Sc: 0.0000 0.2500 0.1250 [24 per cell]  8 O 2.35-2.39
Ge: 0.0000 0.0000 0.0000 [16 per cell]  6 O 2.24
Ge: 0.0000 0.2500 0.3750 [24 per cell]  4 O 1.80
O: 0.0292 0.0654 0.6647 [96 per cell]  1 Ge 1.80

Summary:
Total DFT energy (no corrections): -1127.379 eV/cell

---

Entry 2:
A geometry-optimized Sc4GeO structure. Source: the Alexandria database, functional PBE.

Lattice parameters (Å, degrees): 13.7921 5.0755 6.6094 90.00 106.94 90.00
Closest atoms and distances in Å follow each position.
Space group C2/c (No. 15)
Asymmetric unit:
Sc: 0.1043 0.0249 0.4207 [8 per cell]  1 O 2.24
Sc: 0.1917 0.4851 0.2019 [8 per cell]  2 O 2.20-2.24
Ge: 0.0000 0.4575 0.7500 [4 per cell]  6 Sc 2.77-3.05
O: 0.2500 0.2500 0.5000 [4 per cell]  6 Sc 2.20-2.24

Summary:
Total DFT energy (no corrections): -168.690 eV/cell

---

Entry 3:
A geometry-optimized Sc2GeO structure. Source: the Alexandria database, functional PBE.

Lattice parameters (Å, degrees): 4.1889 4.1889 19.3814 90.00 90.00 120.00
Closest atoms and distances in Å follow each position.
Space group R-3m (No. 166, hexagonal axes)
Asymmetric unit:
Sc: 0.0000 0.0000 0.0972 [6 per cell]  1 O 1.88
Ge: 0.0000 0.0000 0.5000 [3 per cell]  6 Sc 2.77
O: 0.0000 0.0000 0.0000 [3 per cell]  2 Sc 1.88

Summary:
Polymorph energy (0 for the lowest one): 256 meV per atom
Total DFT energy (no corrections): -85.005 eV/cell

---

Entry 4:
A geometry-optimized ScGe3O structure. Source: the Alexandria database, functional PBE.

Lattice parameters (Å, degrees): 4.3981 4.3981 4.3981 90.00 90.00 90.00
Closest atoms and distances in Å follow each position.
Space group Pm-3m (No. 221)
Asymmetric unit:
Sc: 0.0000 0.0000 0.0000 [1 per cell]  12 Ge 3.11
Ge: 0.0000 0.5000 0.5000 [3 per cell]  2 O 2.20
O: 0.5000 0.5000 0.5000 [1 per cell]  6 Ge 2.20

Summary:
Polymorph energy (0 for the lowest one): 0 meV per atom
Total DFT energy (no corrections): -26.814 eV/cell

---

Entry 5:
A geometry-optimized Sc3Ge2O structure. Source: the Alexandria database, functional PBE.

Lattice parameters (Å, degrees): 9.3854 7.6722 5.8928 90.00 90.00 90.00
Closest atoms and distances in Å follow each position.
Space group Cmcm (No. 63)
Asymmetric unit:
Sc: 0.0000 0.1509 0.2500 [4 per cell]  1 O 2.08
Sc: 0.1657 0.5000 0.0000 [8 per cell]  2 O 2.22
Ge: 0.1385 0.1867 0.7500 [8 per cell]  1 Ge 2.60, 5 Sc 2.76-2.90
O: 0.0000 0.4221 0.2500 [4 per cell]  5 Sc 2.08-2.22

Summary:
Total DFT energy (no corrections): -167.039 eV/cell

---

Entry 6:
A geometry-optimized Sc6Ge3O structure. Source: the Alexandria database, functional PBE.

Lattice parameters (Å, degrees): 10.4438 12.9961 6.3298 90.00 90.00 90.00
Closest atoms and distances in Å follow each position.
Space group Cmc2_1 (No. 36)
Asymmetric unit:
Sc: 0.0000 0.0515 0.0000 [4 per cell]  1 O 2.10
Sc: 0.0000 0.2280 0.5541 [4 per cell]  1 O 2.06
Sc: 0.1551 0.2660 0.0380 [8 per cell]  1 O 2.10
Sc: 0.1639 0.4735 0.5532 [8 per cell]  4 Ge 2.66-2.82
Ge: 0.0000 0.3905 0.2678 [4 per cell]  7 Sc 2.71-2.81
Ge: 0.1729 0.1081 0.3297 [8 per cell]  7 Sc 2.66-2.95
O: 0.0000 0.2011 0.8742 [4 per cell]  4 Sc 2.06-2.10

Summary:
Total DFT energy (no corrections): -269.789 eV/cell

---

Entry 7:
A geometry-optimized Sc2GeO structure. Source: the Alexandria database, functional PBE.

Lattice parameters (Å, degrees): 6.2980 6.2980 7.0895 90.00 90.00 90.00
Closest atoms and distances in Å follow each position.
Space group I-42d (No. 122)
Asymmetric unit:
Sc: 0.1666 0.2500 0.1250 [8 per cell]  2 O 2.09
Ge: 0.0000 0.0000 0.5000 [4 per cell]  4 Sc 2.77
O: 0.0000 0.0000 0.0000 [4 per cell]  4 Sc 2.09

Summary:
Polymorph energy (0 for the lowest one): 105 meV per atom
Total DFT energy (no corrections): -115.750 eV/cell

---

Entry 8:
A geometry-optimized Sc3Ge2O8 structure. Source: the Alexandria database, functional PBE.

Lattice parameters (Å, degrees): 6.2991 11.8125 8.5917 90.00 90.00 90.00
Closest atoms and distances in Å follow each position.
Space group Cmce (No. 64)
Asymmetric unit:
Sc: 0.0000 0.0000 0.0000 [4 per cell]  6 O 2.13-2.15
Sc: 0.2500 0.1491 0.2500 [8 per cell]  6 O 2.09-2.24
Ge: 0.0000 0.1103 0.6104 [8 per cell]  4 O 1.81-1.91
O: 0.0000 0.0139 0.2468 [8 per cell]  1 Ge 1.91, 1 Sc 2.13
O: 0.0000 0.2357 0.7307 [8 per cell]  1 Ge 1.81
O: 0.2387 0.1172 0.4927 [16 per cell]  1 Ge 1.81

Summary:
Total DFT energy (no corrections): -406.265 eV/cell

---

Entry 9:
A geometry-optimized Sc2GeO5 structure. Source: the Alexandria database, functional PBE.

Lattice parameters (Å, degrees): 11.0153 10.5878 10.7561 90.00 93.49 90.00
Closest atoms and distances in Å follow each position.
Space group C2/c (No. 15)
Asymmetric unit:
Sc: 0.0110 0.1407 0.4297 [8 per cell]  6 O 2.06-2.22
Sc: 0.1551 0.3509 0.9383 [8 per cell]  6 O 2.06-2.18
Sc: 0.1765 0.3158 0.2453 [8 per cell]  6 O 2.05-2.18
Ge: 0.0000 0.1433 0.7500 [4 per cell]  4 O 1.78-1.79
Ge: 0.1676 0.3936 0.5438 [8 per cell]  4 O 1.76-1.81
O: 0.0000 0.2371 0.2500 [4 per cell]  4 Sc 2.12-2.18
O: 0.0127 0.0476 0.6145 [8 per cell]  1 Ge 1.79
O: 0.0316 0.3063 0.5467 [8 per cell]  1 Ge 1.76
O: 0.1370 0.2304 0.7808 [8 per cell]  1 Ge 1.78
O: 0.1543 0.4554 0.1132 [8 per cell]  1 Ge 1.77
O: 0.1663 0.2030 0.0751 [8 per cell]  4 Sc 2.06-2.18
O: 0.1757 0.4542 0.3877 [8 per cell]  1 Ge 1.81
O: 0.1967 0.1779 0.3958 [8 per cell]  1 Ge 1.76

Summary:
Polymorph energy (0 for the lowest one): 0 meV per atom
Total DFT energy (no corrections): -780.286 eV/cell

---

Entry 10:
A geometry-optimized Sc6Ge2O structure. Source: the Alexandria database, functional PBE.

Lattice parameters (Å, degrees): 5.8513 5.8513 11.5156 90.00 90.00 90.00
Closest atoms and distances in Å follow each position.
Space group P4_2/mnm (No. 136)
Asymmetric unit:
Sc: 0.1913 0.1913 0.1366 [8 per cell]  1 O 2.23
Sc: 0.2087 0.2087 0.5000 [4 per cell]  1 O 2.41, 2 Ge 2.68
Ge: 0.0000 0.0000 0.3216 [4 per cell]  6 Sc 2.60-2.68
O: 0.0000 0.0000 0.0000 [2 per cell]  6 Sc 2.23-2.41

Summary:
Total DFT energy (no corrections): -119.448 eV/cell

---

Entry 11:
A geometry-optimized ScGeO4 structure. Source: the Alexandria database, functional PBE.

Lattice parameters (Å, degrees): 7.0478 7.8699 6.3618 90.00 90.00 90.00
Closest atoms and distances in Å follow each position.
Space group Cmcm (No. 63)
Asymmetric unit:
Sc: 0.0000 0.0585 0.2500 [4 per cell]  6 O 2.06-2.22
Ge: 0.0000 0.3234 0.7500 [4 per cell]  4 O 1.74-1.79
O: 0.0000 0.1694 0.5436 [8 per cell]  1 Ge 1.79
O: 0.2060 0.4456 0.7500 [8 per cell]  1 Ge 1.74

Summary:
Total DFT energy (no corrections): -172.155 eV/cell

---

Entry 12:
A geometry-optimized ScGeO structure. Source: the Alexandria database, functional PBE.

Lattice parameters (Å, degrees): 3.6936 3.6942 6.9629 90.00 90.16 90.00
Closest atoms and distances in Å follow each position.
Space group Pm (No. 6)
Asymmetric unit:
Sc: 0.0000 0.0000 0.0000 [1 per cell]  4 O 2.09
Sc: 0.4981 0.5000 0.7209 [1 per cell]  4 O 2.09
Ge: 0.4962 0.5000 0.2968 [1 per cell]  4 Ge 2.76, 1 Sc 2.95
Ge: 0.9972 0.0000 0.4241 [1 per cell]  4 Ge 2.76, 1 Sc 2.95
O: 0.4991 0.0000 0.8604 [1 per cell]  4 Sc 2.09
O: 0.9988 0.5000 0.8605 [1 per cell]  4 Sc 2.09

Summary:
Polymorph energy (0 for the lowest one): 29 meV per atom
Total DFT energy (no corrections): -44.138 eV/cell

---

Entry 13:
A geometry-optimized ScGe2O6 structure. Source: the Alexandria database, functional PBE.

Lattice parameters (Å, degrees): 10.4822 9.3537 5.6847 90.00 109.32 90.00
Closest atoms and distances in Å follow each position.
Space group C2/c (No. 15)
Asymmetric unit:
Sc: 0.0000 0.0963 0.2500 [4 per cell]  6 O 2.11-2.14
Ge: 0.2081 0.4253 0.2746 [8 per cell]  4 O 1.77-1.78
O: 0.1147 0.0522 0.6249 [8 per cell]  1 Ge 1.77
O: 0.1348 0.4687 0.9557 [8 per cell]  2 Ge 1.77-1.78
O: 0.1624 0.2440 0.2955 [8 per cell]  1 Ge 1.78

Summary:
Total DFT energy (no corrections): -251.124 eV/cell

---

Entry 14:
A geometry-optimized ScGeO structure. Source: the Alexandria database, functional PBE.

Lattice parameters (Å, degrees): 2.9551 2.9551 5.9449 90.00 90.00 90.00
Closest atoms and distances in Å follow each position.
Space group P4/mmm (No. 123)
Asymmetric unit:
Sc: 0.0000 0.0000 0.0000 [1 per cell]  4 O 2.09
Ge: 0.0000 0.0000 0.5000 [1 per cell]  4 Ge 2.96, 2 Sc 2.97
O: 0.5000 0.5000 0.0000 [1 per cell]  4 Sc 2.09

Summary:
Polymorph energy (0 for the lowest one): 308 meV per atom
Total DFT energy (no corrections): -21.231 eV/cell

---

Entry 15:
A geometry-optimized Sc4Ge2O structure. Source: the Alexandria database, functional PBE.

Lattice parameters (Å, degrees): 7.1730 10.6536 3.3637 90.00 90.00 90.00
Closest atoms and distances in Å follow each position.
Space group Pbam (No. 55)
Asymmetric unit:
Sc: 0.1240 0.1887 0.0000 [4 per cell]  1 O 2.20
Sc: 0.1975 0.9379 0.5000 [4 per cell]  2 O 2.30
Ge: 0.0728 0.6570 0.5000 [4 per cell]  6 Sc 2.74-2.88
O: 0.0000 0.0000 0.0000 [2 per cell]  6 Sc 2.20-2.30

Summary:
Polymorph energy (0 for the lowest one): 147 meV per atom
Total DFT energy (no corrections): -96.317 eV/cell

---

Entry 16:
A geometry-optimized ScGe3O structure. Source: the Alexandria database, functional PBE.

Lattice parameters (Å, degrees): 5.1647 5.1647 5.1647 90.00 90.00 90.00
Closest atoms and distances in Å follow each position.
Space group Pm-3m (No. 221)
Asymmetric unit:
Sc: 0.0000 0.0000 0.0000 [1 per cell]  6 Ge 2.58
Ge: 0.0000 0.0000 0.5000 [3 per cell]  2 Sc 2.58
O: 0.5000 0.5000 0.5000 [1 per cell]  12 Ge 3.65

Summary:
Polymorph energy (0 for the lowest one): 1320 meV per atom
Total DFT energy (no corrections): -20.214 eV/cell

---

Entry 17:
A geometry-optimized Sc2GeO structure. Source: the Alexandria database, functional PBE.

Lattice parameters (Å, degrees): 6.3968 6.3968 6.3968 90.00 90.00 90.00
Closest atoms and distances in Å follow each position.
Space group Fm-3m (No. 225)
Asymmetric unit:
Sc: 0.2500 0.2500 0.2500 [8 per cell]  4 O 2.77, 4 Ge 2.77
Ge: 0.0000 0.0000 0.0000 [4 per cell]  8 Sc 2.77
O: 0.0000 0.0000 0.5000 [4 per cell]  8 Sc 2.77

Summary:
Polymorph energy (0 for the lowest one): 823 meV per atom
Total DFT energy (no corrections): -104.258 eV/cell